# 1
First-principles (PBE) data for a relaxed structure of TaBi2Br, as listed in Alexandria via LeMat-Bulk.

```
TaBi2Br
1.0
-3.407 3.407 6.952
3.407 -3.407 6.952
3.407 3.407 -6.952
Ta Bi Br
2 4 2
Cartesian
0.000 0.000 0.000
0.000 3.407 3.476
5.110 1.223 -1.738
1.223 1.703 1.738
-1.703 2.184 5.214
2.184 1.703 8.690
3.407 0.000 3.476
0.000 0.000 6.952
```

Output
Space-group type   No. 122
Formation energy without anion corrections   0.6913 eV/atom

---

# 2
First-principles (PBE) data for a relaxed structure of Sr2CdO3, as listed in Alexandria via LeMat-Bulk.

```
Sr2CdO3
1.0
-1.812 7.485 1.812
1.812 -7.485 1.812
1.812 7.485 -1.812
Sr Cd O
2 1 3
Cartesian
0.000 2.405 0.000
0.000 12.564 0.000
0.000 7.485 0.037
1.812 -2.404 1.804
1.812 2.404 1.804
0.000 0.000 3.556
```

Output
Space-group type   No. 44
Formation energy without anion corrections   -2.1509 eV/atom